(1)
ScFeBr2 PBE relaxed; M_tot = 3.3 μB per cell; uncorrected formation energy = -0.096 eV per atom; symmetry = P4/mmm (123)
1.0
3.455 0.000 0.000
0.000 3.455 0.000
0.000 0.000 6.610
Br Fe Sc
2 1 1
Cartesian
0.000 0.000 6.544
0.000 0.000 3.371
1.728 1.728 1.653
1.728 1.728 4.958

***

(2)
K3Tb3TiTe8 PBE relaxed; M_tot = 0.1 μB per cell; uncorrected formation energy = -1.212 eV per atom; symmetry = R-3m (166)
1.0
8.737 0.000 0.000
-4.369 7.563 -0.034
0.000 -5.006 8.483
K Tb Ti Te
3 3 1 8
Cartesian
0.000 0.000 0.000
-2.184 3.782 -0.017
2.184 3.781 -0.017
4.369 -2.503 4.242
2.184 1.278 4.225
-2.184 1.278 4.225
0.000 -2.503 4.242
0.000 2.531 2.431
4.368 0.026 6.018
4.368 2.713 2.558
0.000 -0.156 5.892
6.712 -1.342 2.576
-2.343 3.899 5.873
2.025 -1.342 2.576
2.343 3.899 5.873

***

(3)
Ca2NiHg PBE relaxed; energy of formation = -169 meV/atom; M_tot = 0.0 μB per cell; symmetry = Cm (8)
1.0
-2.905 -2.387 -5.042
-4.357 -3.979 -2.176
-4.342 2.216 -0.968
Ni Ca Hg
1 2 1
Cartesian
-8.765 -3.263 -6.255
-4.452 1.876 -1.214
-2.884 -0.979 -2.006
-5.647 -1.642 -3.774